First-principles (PBE-GGA) data for a relaxed structure of Tl3Cd2SbSe6, as listed in Alexandria via LeMat-Bulk.

Cell and atoms, written as POSCAR:
```
Tl3Cd2SbSe6
1.0
-4.641 5.463 -0.985
-1.926 -5.751 3.946
4.682 3.293 4.912
Tl Cd Sb Se
3 2 1 6
direct
0.172 0.828 0.500 Tl
0.828 0.172 0.500 Tl
0.500 0.500 0.500 Tl
0.334 0.666 0.000 Cd
0.666 0.334 0.000 Cd
0.000 0.000 0.000 Sb
0.927 0.597 0.787 Se
0.744 0.744 0.223 Se
0.073 0.403 0.213 Se
0.597 0.927 0.787 Se
0.256 0.256 0.777 Se
0.403 0.073 0.213 Se
```

Output
Size of the total moment   0.00 Bohr magnetons per cell
Space group   C2/m (12)
Formation energy (no corrections)   -36.2 kJ/mol of atoms